Computed, not measured: a relaxed structure of NdHoZr at the PBE-GGA level of DFT.

Fermi-level density of states = 1.49 states/eV/atom
total magnetization = 0.0 μB per cell
symmetry = I4mm, No. 107
energy relative to the lowest polymorph listed for this composition = 0 meV per atom

Lattice parameters (Å, degrees): 3.408 3.408 7.907 102.45 102.45 90.00
Element x y z (fractional)
Nd 0.991 0.991 0.982
Ho 0.680 0.680 0.359
Zr 0.329 0.329 0.659

---

Computed, not measured: a relaxed structure of SiNi5Pt6 at the PBE-GGA level of DFT.

Fermi-level density of states = 1.41 states/eV/atom
ΔE_f (raw) = -0.220 eV/atom
total magnetization = 4.9 μB per cell
symmetry = Cmmm, No. 65

Lattice parameters (Å, degrees): 3.895 7.096 6.169 90.00 71.60 90.00
Site moments in Bohr magnetons follow the coordinates.
Element x y z (fractional)
Ni 0.663 0.500 0.675  0.80
Ni 0.327 0.000 0.345  0.66
Ni 0.000 0.500 0.000  0.66
Ni 0.673 0.000 0.655  0.66
Ni 0.337 0.500 0.325  0.80
Si 0.000 0.000 0.000  0.00
Pt 0.834 0.751 0.331  0.25
Pt 0.834 0.249 0.331  0.25
Pt 0.500 0.235 0.000  0.21
Pt 0.500 0.765 0.000  0.21
Pt 0.166 0.751 0.669  0.25
Pt 0.166 0.249 0.669  0.25

---

Computed, not measured: a relaxed structure of ErPaAlAg at the PBE-GGA level of DFT.

Fermi-level density of states = 1.69 states/eV/atom
final energy = -5.14 eV per atom
total magnetization = 0.5 μB per cell
symmetry = F-43m, No. 216

Lattice parameters (Å, degrees): 5.106 5.106 5.106 60.00 60.00 60.00
Site moments in Bohr magnetons follow the coordinates.
Element x y z (fractional)
Pa 0.750 0.750 0.750  0.28
Al 0.000 0.000 0.000  0.00
Ag 0.500 0.500 0.500  0.01
Er 0.250 0.250 0.250  0.08

---

Computed, not measured: a relaxed structure of LuNiSn2 at the PBE-GGA level of DFT.

Fermi-level density of states = 0.41 states/eV/atom
final energy = -5.09 eV per atom
total magnetization = 0.0 μB per cell
symmetry = Pnma, No. 62

Lattice parameters (Å, degrees): 4.426 14.422 16.069 90.00 90.00 90.00
Element x y z (fractional)
Lu 0.250 0.402 0.649
Lu 0.750 0.598 0.351
Lu 0.750 0.902 0.851
Lu 0.250 0.098 0.149
Lu 0.250 0.279 0.870
Lu 0.750 0.721 0.130
Lu 0.750 0.779 0.630
Lu 0.250 0.221 0.370
Lu 0.250 0.969 0.350
Lu 0.750 0.031 0.650
Lu 0.750 0.469 0.150
Lu 0.250 0.531 0.850
Ni 0.750 0.238 0.189
Ni 0.250 0.051 0.800
Ni 0.750 0.949 0.200
Ni 0.750 0.551 0.700
Ni 0.250 0.449 0.300
Ni 0.250 0.738 0.311
Ni 0.750 0.262 0.689
Ni 0.250 0.762 0.811
Ni 0.250 0.607 0.053
Ni 0.750 0.393 0.947
Ni 0.750 0.107 0.447
Ni 0.250 0.893 0.553
Sn 0.250 0.900 0.715
Sn 0.750 0.100 0.285
Sn 0.750 0.400 0.785
Sn 0.250 0.600 0.215
Sn 0.250 0.767 0.972
Sn 0.250 0.863 0.176
Sn 0.750 0.233 0.028
Sn 0.750 0.267 0.528
Sn 0.250 0.733 0.472
Sn 0.250 0.637 0.676
Sn 0.750 0.363 0.324
Sn 0.750 0.137 0.824
Sn 0.250 0.319 0.182
Sn 0.750 0.681 0.818
Sn 0.750 0.819 0.318
Sn 0.250 0.181 0.682
Sn 0.250 0.444 0.458
Sn 0.750 0.556 0.542
Sn 0.750 0.944 0.042
Sn 0.250 0.056 0.958
Sn 0.250 0.421 0.020
Sn 0.750 0.579 0.980
Sn 0.750 0.921 0.480
Sn 0.250 0.079 0.520

---

Computed, not measured: a relaxed structure of Li2ScTe at the PBE-GGA level of DFT.

Fermi-level density of states = 0.39 states/eV/atom
ΔE_f (raw) = -0.297 eV/atom
total magnetization = 1.9 μB per cell
symmetry = I-42d, No. 122

Lattice parameters (Å, degrees): 8.227 8.227 6.471 50.53 50.53 90.00
Site moments in Bohr magnetons follow the coordinates.
Element x y z (fractional)
Sc 0.500 0.500 0.000  0.32
Sc 0.250 0.750 0.500  0.33
Te 0.000 0.000 0.000  0.01
Te 0.750 0.250 0.500  0.01
Li 0.674 0.125 0.250  0.04
Li 0.076 0.625 0.250  0.04
Li 0.375 0.326 0.750  0.04
Li 0.875 0.924 0.750  0.05

---

Computed, not measured: a relaxed structure of CsBeH6Ir at the PBE-GGA level of DFT.

Fermi-level density of states = 0.00 states/eV/atom
final energy = -3.96 eV per atom
total magnetization = 0.0 μB per cell
symmetry = P312, No. 149

Lattice parameters (Å, degrees): 4.347 4.347 6.556 90.00 90.00 60.00
Element x y z (fractional)
Cs 0.000 0.000 0.000
Be 0.667 0.667 0.500
H 0.012 0.341 0.355
H 0.341 0.012 0.644
H 0.648 0.341 0.645
H 0.012 0.648 0.644
H 0.341 0.648 0.355
H 0.648 0.012 0.356
Ir 0.333 0.333 0.500

---

Computed, not measured: a relaxed structure of Nb5Ge5Ru at the PBE-GGA level of DFT.

Fermi-level density of states = 0.81 states/eV/atom
final energy = -7.47 eV per atom
total magnetization = 0.0 μB per cell
symmetry = C2/m, No. 12

Lattice parameters (Å, degrees): 5.108 5.625 8.315 110.63 90.00 117.00
Element x y z (fractional)
Nb 0.690 0.379 0.367
Nb 0.617 0.233 0.743
Nb 0.000 0.000 0.500
Nb 0.383 0.767 0.257
Nb 0.310 0.621 0.633
Ge 0.801 0.601 0.119
Ge 0.858 0.716 0.694
Ge 0.500 0.000 0.000
Ge 0.142 0.284 0.306
Ge 0.199 0.399 0.881
Ru 0.000 0.000 0.000

---

Computed, not measured: a relaxed structure of CaAl6 at the PBE-GGA level of DFT.

Fermi-level density of states = 0.81 states/eV/atom
total magnetization = 0.0 μB per cell
symmetry = Im-3m, No. 229
energy relative to the lowest polymorph listed for this composition = 484 meV per atom

Lattice parameters (Å, degrees): 6.286 6.286 6.286 109.47 109.47 109.47
Element x y z (fractional)
Ca 0.000 0.000 0.000
Al 0.250 0.750 0.500
Al 0.500 0.750 0.250
Al 0.250 0.500 0.750
Al 0.750 0.250 0.500
Al 0.500 0.250 0.750
Al 0.750 0.500 0.250

---

Question: Which formula does entry 2 have?
Answer: SiNi5Pt6

---

Copy entry 5 word for word.
Computed, not measured: a relaxed structure of Li2ScTe at the PBE-GGA level of DFT.

Fermi-level density of states = 0.39 states/eV/atom
ΔE_f (raw) = -0.297 eV/atom
total magnetization = 1.9 μB per cell
symmetry = I-42d, No. 122

Lattice parameters (Å, degrees): 8.227 8.227 6.471 50.53 50.53 90.00
Site moments in Bohr magnetons follow the coordinates.
Element x y z (fractional)
Sc 0.500 0.500 0.000  0.32
Sc 0.250 0.750 0.500  0.33
Te 0.000 0.000 0.000  0.01
Te 0.750 0.250 0.500  0.01
Li 0.674 0.125 0.250  0.04
Li 0.076 0.625 0.250  0.04
Li 0.375 0.326 0.750  0.04
Li 0.875 0.924 0.750  0.05

---

Copy entry 1 word for word.
Computed, not measured: a relaxed structure of NdHoZr at the PBE-GGA level of DFT.

Fermi-level density of states = 1.49 states/eV/atom
total magnetization = 0.0 μB per cell
symmetry = I4mm, No. 107
energy relative to the lowest polymorph listed for this composition = 0 meV per atom

Lattice parameters (Å, degrees): 3.408 3.408 7.907 102.45 102.45 90.00
Element x y z (fractional)
Nd 0.991 0.991 0.982
Ho 0.680 0.680 0.359
Zr 0.329 0.329 0.659

---

Question: Look up the total magnetization of the sixth one.
Answer: 0.0 μB per cell